# 1
Entry from the Alexandria database: a relaxed structure of ZrNbPO2 (PBE).

Cell and atoms, written as CIF:
```
data_ZrNbPO2
_symmetry_space_group_name_H-M 'P 4/m m m'
_symmetry_Int_Tables_number 123
_symmetry_space_group_name_Hall '-P 4 2'
_cell_length_a 3.9803
_cell_length_b 3.9803
_cell_length_c 5.5331
_cell_angle_alpha 90.00
_cell_angle_beta 90.00
_cell_angle_gamma 90.00
loop_
_atom_site_label
_atom_site_type_symbol
_atom_site_fract_x
_atom_site_fract_y
_atom_site_fract_z
_atom_site_occupancy
Zr1 Zr 0.0000 0.0000 0.0000 1
Nb1 Nb 0.5000 0.5000 0.5000 1
P1 P 0.0000 0.0000 0.5000 1
O1 O 0.0000 0.5000 0.0000 1
```

# 2
Entry from the Alexandria database: a relaxed structure of ZrNbPO2 (PBE).

Cell and atoms, written as CIF:
```
data_ZrNbPO2
_symmetry_space_group_name_H-M 'P 4/m m m'
_symmetry_Int_Tables_number 123
_symmetry_space_group_name_Hall '-P 4 2'
_cell_length_a 3.9157
_cell_length_b 3.9157
_cell_length_c 5.2102
_cell_angle_alpha 90.00
_cell_angle_beta 90.00
_cell_angle_gamma 90.00
loop_
_atom_site_label
_atom_site_type_symbol
_atom_site_fract_x
_atom_site_fract_y
_atom_site_fract_z
_atom_site_occupancy
Zr1 Zr 0.0000 0.0000 0.0000 1
Nb1 Nb 0.5000 0.5000 0.5000 1
P1 P 0.5000 0.5000 0.0000 1
O1 O 0.0000 0.5000 0.5000 1
```

# 3
Entry from the Alexandria database: a relaxed structure of ZrNbP2O (PBE).

Cell and atoms, written as CIF:
```
data_ZrNbP2O
_symmetry_space_group_name_H-M 'P 4/m m m'
_symmetry_Int_Tables_number 123
_symmetry_space_group_name_Hall '-P 4 2'
_cell_length_a 4.9172
_cell_length_b 4.9172
_cell_length_c 3.8008
_cell_angle_alpha 90.00
_cell_angle_beta 90.00
_cell_angle_gamma 90.00
loop_
_atom_site_label
_atom_site_type_symbol
_atom_site_fract_x
_atom_site_fract_y
_atom_site_fract_z
_atom_site_occupancy
Zr1 Zr 0.0000 0.0000 0.0000 1
Nb1 Nb 0.5000 0.5000 0.5000 1
P1 P 0.0000 0.5000 0.5000 1
O1 O 0.5000 0.5000 0.0000 1
```

Number 1: total energy -39.9 eV for the cell shown, formation energy from raw total energies -1.184 eV/atom. Number 2: total energy -41.1 eV for the cell shown, formation energy from raw total energies -1.430 eV/atom. Number 3: total energy -38.0 eV for the cell shown, formation energy from raw total energies -0.727 eV/atom.